Record 1
An optimized crystal structure of CsGaI2O, computed with GGA-PBE.

```
CsGaI2O
1.0
-2.290 6.597 1.710
-5.587 -0.784 -4.457
-2.393 -1.685 3.297
Cs I O Ga
1 2 1 1
Direct
0.000 0.000 0.000
0.000 0.500 0.000
0.500 0.000 0.000
0.000 0.000 0.500
0.500 0.500 0.500
```

Computed properties:
* final energy: -2.325 eV per atom
* magnetic moment: 0.8 μB per formula unit

Record 2
An optimized crystal structure of Cs2GaOsI6, computed with GGA-PBE.

```
Cs2GaOsI6
1.0
-1.341 -8.003 -1.955
7.385 -0.290 -3.879
5.603 -5.810 2.121
Cs I Os Ga
2 6 1 1
Direct
0.750 0.250 0.500
0.250 0.750 0.500
0.232 0.232 0.537
0.768 0.768 0.463
0.231 0.231 0.000
0.769 0.769 0.000
0.769 0.231 0.000
0.231 0.769 0.000
0.000 0.000 0.000
0.500 0.500 0.000
```

Computed properties:
* final energy: -3.100 eV per atom
* magnetic moment: 1.0 μB per formula unit

Record 3
An optimized crystal structure of CsGaPbI4, computed with GGA-PBE.

```
CsGaPbI4
1.0
-3.057 -5.673 4.016
7.414 -2.362 2.307
0.550 8.883 7.328
Cs Ga Pb I
2 2 2 8
Direct
0.773 0.750 0.958
0.227 0.250 0.042
0.786 0.750 0.523
0.214 0.250 0.477
0.332 0.750 0.327
0.668 0.250 0.673
0.977 0.500 0.708
0.023 0.000 0.292
0.023 0.500 0.292
0.977 0.000 0.708
0.315 0.750 0.051
0.685 0.250 0.949
0.450 0.750 0.626
0.550 0.250 0.374
```

Computed properties:
* final energy: -2.743 eV per atom
* magnetic moment: 0.0 μB per formula unit

Record 4
An optimized crystal structure of Cs2GaPbI, computed with GGA-PBE.

```
Cs2GaPbI
1.0
-1.784 4.681 -5.048
-6.047 -0.496 1.677
0.849 5.324 4.637
Pb Cs I Ga
1 2 1 1
Direct
0.000 0.500 0.000
0.000 0.000 0.500
0.500 0.000 0.000
0.000 0.000 0.000
0.500 0.500 0.500
```

Computed properties:
* final energy: -1.975 eV per atom
* magnetic moment: 0.5 μB per formula unit

Record 5
An optimized crystal structure of Cs2Ga2PbI6, computed with GGA-PBE.

```
Cs2Ga2PbI6
1.0
-6.561 -3.594 4.669
8.337 -0.270 3.181
-4.166 8.491 0.680
Cs Ga Pb I
2 2 1 6
Direct
0.721 0.443 0.183
0.279 0.557 0.817
0.943 0.886 0.834
0.057 0.114 0.166
0.500 0.000 0.500
0.728 0.457 0.592
0.196 0.887 0.211
0.309 0.113 0.789
0.804 0.113 0.789
0.691 0.887 0.211
0.272 0.543 0.408
```

Computed properties:
* final energy: -2.722 eV per atom
* magnetic moment: 0.0 μB per formula unit

Record 6
An optimized crystal structure of Cs2PmGaI6, computed with GGA-PBE.

```
Cs2PmGaI6
1.0
8.908 0.000 0.000
0.000 8.940 0.000
0.000 0.000 12.625
Cs Pm Ga I
4 2 2 12
Direct
0.500 0.759 0.244
0.000 0.241 0.744
0.500 0.759 0.756
0.000 0.241 0.256
0.500 0.246 0.500
0.000 0.754 0.000
0.000 0.745 0.500
0.500 0.255 0.000
0.500 0.244 0.255
0.500 0.244 0.745
0.000 0.756 0.245
0.000 0.756 0.755
0.256 0.999 0.500
0.744 0.999 0.500
0.252 0.488 0.500
0.748 0.488 0.500
0.752 0.512 0.000
0.248 0.512 0.000
0.244 0.001 0.000
0.756 0.001 0.000
```

Computed properties:
* final energy: -3.145 eV per atom
* magnetic moment: 0.0 μB per formula unit

Record 7
An optimized crystal structure of Cs2PuGaI6, computed with GGA-PBE.

```
Cs2PuGaI6
1.0
8.886 0.001 0.000
0.002 8.886 0.000
4.444 4.443 6.283
Cs Pu Ga I
2 1 1 6
Direct
0.250 0.750 0.500
0.750 0.250 0.500
0.500 0.500 0.000
0.000 0.000 0.000
0.254 0.746 0.000
0.746 0.746 0.000
0.254 0.254 0.492
0.746 0.254 0.000
0.254 0.254 0.000
0.746 0.746 0.508
```

Computed properties:
* final energy: -3.964 eV per atom
* magnetic moment: 5.0 μB per formula unit

Record 8
An optimized crystal structure of CsRb2GaI4, computed with GGA-PBE.

```
CsRb2GaI4
1.0
5.463 0.000 0.000
-2.731 8.790 0.000
0.000 0.000 17.854
Cs Rb Ga I
2 4 2 8
Direct
0.120 0.240 0.750
0.880 0.760 0.250
0.372 0.745 0.554
0.628 0.255 0.054
0.628 0.255 0.446
0.372 0.745 0.946
0.857 0.714 0.750
0.143 0.286 0.250
0.264 0.529 0.124
0.736 0.471 0.624
0.736 0.471 0.876
0.264 0.529 0.376
0.000 0.000 0.500
0.000 0.000 0.000
0.457 0.914 0.750
0.543 0.086 0.250
```

Computed properties:
* final energy: -2.691 eV per atom
* magnetic moment: 0.0 μB per formula unit

Record 9
An optimized crystal structure of Cs2RbGaI6, computed with GGA-PBE.

```
Cs2RbGaI6
1.0
8.924 0.000 0.000
4.462 7.728 0.000
4.462 2.576 7.286
Cs Rb Ga I
2 1 1 6
Direct
0.750 0.750 0.750
0.250 0.250 0.250
0.500 0.500 0.500
0.000 0.000 0.000
0.777 0.223 0.223
0.223 0.223 0.777
0.223 0.777 0.777
0.223 0.777 0.223
0.777 0.223 0.777
0.777 0.777 0.223
```

Computed properties:
* final energy: -2.529 eV per atom
* magnetic moment: 0.0 μB per formula unit

Record 10
An optimized crystal structure of CsRbGa2I8, computed with GGA-PBE.

```
CsRbGa2I8
1.0
-3.799 5.667 3.975
-5.355 4.489 -3.676
-11.157 -4.002 2.884
Cs Rb Ga I
1 1 2 8
Direct
0.500 0.500 0.500
0.000 0.000 0.000
0.243 0.243 0.272
0.757 0.757 0.728
0.166 0.166 0.501
0.542 0.330 0.198
0.834 0.834 0.499
0.930 0.542 0.198
0.070 0.458 0.802
0.330 0.930 0.198
0.670 0.070 0.802
0.458 0.670 0.802
```

Computed properties:
* final energy: -2.578 eV per atom
* magnetic moment: 0.0 μB per formula unit

Record 11
An optimized crystal structure of Cs2GaReI6, computed with GGA-PBE.

```
Cs2GaReI6
1.0
-1.600 8.168 -1.214
-6.159 -2.004 -5.367
-7.769 2.989 1.208
Cs Re I Ga
2 1 6 1
Direct
0.750 0.250 0.500
0.250 0.750 0.500
0.000 0.000 0.000
0.232 0.232 0.535
0.768 0.768 0.465
0.232 0.232 0.000
0.768 0.768 0.000
0.768 0.232 0.000
0.232 0.768 0.000
0.500 0.500 0.000
```

Computed properties:
* final energy: -3.218 eV per atom
* magnetic moment: 2.0 μB per formula unit

Record 12
An optimized crystal structure of CsGaSb2I, computed with GGA-PBE.

```
CsGaSb2I
1.0
5.380 0.000 0.000
0.000 5.380 0.000
0.000 0.000 7.175
Cs I Ga Sb
1 1 1 2
Direct
0.500 0.500 0.500
0.000 0.000 0.500
0.000 0.000 0.000
0.000 0.500 0.000
0.500 0.000 0.000
```

Computed properties:
* final energy: -2.832 eV per atom
* magnetic moment: 0.0 μB per formula unit